An optimized crystal structure of SrLiMg2Ir, computed with PBE-GGA.

Results
Magnetic moment (Bohr magnetons per cell): 0.0
Formation energy from the elements (kJ/mol of formula units): -50
Total DFT energy (no corrections) (eV/atom): -3.233

Unit cell a=5.056 b=5.056 c=4.981 alpha=90.00 beta=90.00 gamma=90.00
Fractional coordinates of all 5 atoms:
Sr 0.500 0.500 0.500
Mg 0.000 0.500 0.000
Mg 0.500 0.000 0.000
Ir 0.000 0.000 0.000
Li 0.000 0.000 0.500

---

An optimized crystal structure of LiMg2TaIr, computed with PBE-GGA.

Results
Magnetic moment (Bohr magnetons per cell): 0.0
Formation energy from the elements (kJ/mol of formula units): 455
Total DFT energy (no corrections) (eV/atom): -4.221

Unit cell a=5.444 b=4.700 c=5.444 alpha=90.00 beta=90.00 gamma=90.00
Fractional coordinates of all 5 atoms:
Mg 0.000 0.000 0.500
Mg 0.500 0.000 0.000
Ir 0.000 0.500 0.000
Li 0.500 0.500 0.500
Ta 0.000 0.000 0.000

---

An optimized crystal structure of LiTbMgIr, computed with PBE-GGA.

Results
Magnetic moment (Bohr magnetons per cell): 0.0
Formation energy from the elements (kJ/mol of formula units): -170
Total DFT energy (no corrections) (eV/atom): -4.691

Unit cell a=4.754 b=4.754 c=4.754 alpha=60.00 beta=60.00 gamma=60.00
Fractional coordinates of all 4 atoms:
Mg 0.500 0.500 0.500
Ir 0.750 0.750 0.750
Tb 0.000 0.000 0.000
Li 0.250 0.250 0.250

---

An optimized crystal structure of LiMgTcIr, computed with PBE-GGA.

Results
Magnetic moment (Bohr magnetons per cell): 0.0
Formation energy from the elements (kJ/mol of formula units): -38
Total DFT energy (no corrections) (eV/atom): -5.783

Unit cell a=4.335 b=4.335 c=4.335 alpha=60.00 beta=60.00 gamma=60.00
Fractional coordinates of all 4 atoms:
Mg 0.250 0.250 0.250
Ir 0.500 0.500 0.500
Tc 0.750 0.750 0.750
Li 0.000 0.000 0.000

---

An optimized crystal structure of LiMg2TiIr, computed with PBE-GGA.

Results
Magnetic moment (Bohr magnetons per cell): 0.3
Formation energy from the elements (kJ/mol of formula units): 278
Total DFT energy (no corrections) (eV/atom): -3.795

Unit cell a=4.863 b=4.528 c=4.863 alpha=90.00 beta=90.00 gamma=90.00
Fractional coordinates of all 5 atoms:
Mg 0.000 0.000 0.500
Mg 0.500 0.000 0.000
Ir 0.000 0.000 0.000
Li 0.000 0.500 0.000
Ti 0.500 0.500 0.500

---

An optimized crystal structure of LiTmMgIr, computed with PBE-GGA.

Results
Magnetic moment (Bohr magnetons per cell): 0.0
Formation energy from the elements (kJ/mol of formula units): -189
Total DFT energy (no corrections) (eV/atom): -4.700

Unit cell a=4.703 b=4.703 c=4.703 alpha=60.00 beta=60.00 gamma=60.00
Fractional coordinates of all 4 atoms:
Mg 0.250 0.250 0.250
Ir 0.500 0.500 0.500
Tm 0.750 0.750 0.750
Li 0.000 0.000 0.000

---

What did the fifth record say?
An optimized crystal structure of LiMg2TiIr, computed with PBE-GGA.

Results
Magnetic moment (Bohr magnetons per cell): 0.3
Formation energy from the elements (kJ/mol of formula units): 278
Total DFT energy (no corrections) (eV/atom): -3.795

Unit cell a=4.863 b=4.528 c=4.863 alpha=90.00 beta=90.00 gamma=90.00
Fractional coordinates of all 5 atoms:
Mg 0.000 0.000 0.500
Mg 0.500 0.000 0.000
Ir 0.000 0.000 0.000
Li 0.000 0.500 0.000
Ti 0.500 0.500 0.500